No. 1
Material: CeDy2ErTl4
Method: DFT, PBE
State: optimized geometry

The size of the total moment is 1.005 μB/f.u. The calculation puts the raw total energy at -31.5 eV for the cell shown. As for the space group: R-3m (166). The formation energy is -298 meV/atom.

Unit cell a=9.4027 b=9.4027 c=9.4027 alpha=33.29 beta=33.29 gamma=33.29
Element x y z (fractional)
Ce 0.0000 0.0000 0.0000
Dy 0.2490 0.2490 0.2490
Dy 0.7510 0.7510 0.7510
Er 0.5000 0.5000 0.5000
Tl 0.1264 0.1264 0.1264
Tl 0.3768 0.3768 0.3768
Tl 0.6232 0.6232 0.6232
Tl 0.8736 0.8736 0.8736

=====

No. 2
Material: Ce2DyEr6Tm3
Method: DFT, PBE
State: optimized geometry

The size of the total moment is 1.751 μB/f.u. The calculation puts the raw total energy at -56.7 eV for the cell shown. As for the space group: C2/m (12). The formation energy is 49 meV/atom.

Unit cell a=6.0694 b=6.0694 c=11.6084 alpha=95.01 beta=95.01 gamma=119.98
Element x y z (fractional)
Ce 0.1666 0.8334 0.0000
Ce 0.8334 0.1666 0.0000
Dy 0.5000 0.5000 0.0000
Er 0.0804 0.4157 0.7495
Er 0.2490 0.2490 0.2505
Er 0.4157 0.0804 0.7495
Er 0.5843 0.9196 0.2505
Er 0.7510 0.7510 0.7495
Er 0.9196 0.5843 0.2505
Tm 0.0000 0.0000 0.5000
Tm 0.3339 0.6661 0.5000
Tm 0.6661 0.3339 0.5000

=====

No. 3
Material: CeDy3Er6Tm2
Method: DFT, PBE
State: optimized geometry

The size of the total moment is 1.083 μB/f.u. The calculation puts the raw total energy at -55.6 eV for the cell shown. As for the space group: C2/m (12). The formation energy is 36 meV/atom.

Unit cell a=6.0847 b=6.0847 c=11.6472 alpha=94.99 beta=94.99 gamma=119.97
Element x y z (fractional)
Ce 0.0000 0.0000 0.0000
Dy 0.1676 0.8324 0.5000
Dy 0.5000 0.5000 0.5000
Dy 0.8324 0.1676 0.5000
Er 0.0837 0.4150 0.2490
Er 0.2479 0.2479 0.7508
Er 0.4150 0.0837 0.2490
Er 0.5850 0.9163 0.7510
Er 0.7521 0.7521 0.2492
Er 0.9163 0.5850 0.7510
Tm 0.3333 0.6667 0.0000
Tm 0.6667 0.3333 0.0000